Entry from Alexandria: a relaxed structure of Ba2TlCoTe (PBE).

Structure (extended XYZ):
```
5
Lattice="5.806 0.000 0.000 0.000 5.806 0.000 0.000 0.000 5.022" Properties=species:S:1:pos:R:3 pbc="T T T"
Ba 0.000 2.903 0.000
Ba 2.903 0.000 0.000
Tl 0.000 0.000 2.511
Co 0.000 0.000 0.000
Te 2.903 2.903 2.511
```

SG	P4/mmm
energy relative to the elements, uncorrected	-0.4920	eV/atom

---

Entry from Alexandria: a relaxed structure of RbHgPd2 (PBE).

Structure (extended XYZ):
```
8
Lattice="8.244 0.000 0.000 0.000 4.759 0.000 -2.757 0.000 6.015" Properties=species:S:1:pos:R:3 pbc="T T T"
Rb 0.000 0.000 0.000
Rb 4.122 2.380 0.000
Hg -1.379 2.380 3.007
Hg 2.743 0.000 3.007
Pd -0.005 0.000 3.209
Pd 1.369 2.380 2.806
Pd 4.117 2.380 3.209
Pd 5.491 0.000 2.806
```

total DFT energy (no corrections)	-3.07	eV per atom
SG	C2/m

---

Entry from Alexandria: a relaxed structure of TbBeAl2Pd4 (PBE).

Structure (extended XYZ):
```
8
Lattice="2.125 1.227 8.331 -2.125 1.227 8.331 0.000 -2.454 8.331" Properties=species:S:1:pos:R:3 pbc="T T T"
Tb 0.000 0.000 0.000
Be 0.000 0.000 12.496
Al 0.000 0.000 5.976
Al 0.000 0.000 19.017
Pd 0.000 0.000 3.381
Pd 0.000 0.000 10.142
Pd 0.000 0.000 14.850
Pd 0.000 0.000 21.611
```

total DFT energy (no corrections)	-5.38	eV per atom
SG	R-3m

---

Entry from Alexandria: a relaxed structure of TlReTc4 (PBE).

Structure (extended XYZ):
```
6
Lattice="0.000 3.650 3.650 3.650 0.000 3.650 3.650 3.650 0.000" Properties=species:S:1:pos:R:3 pbc="T T T"
Tl 0.000 0.000 0.000
Re 1.825 1.825 1.825
Tc 4.568 2.733 2.733
Tc 2.733 4.568 2.733
Tc 2.733 2.733 4.568
Tc 4.568 4.568 4.568
```

total DFT energy (no corrections)	-8.78	eV per atom
SG	F-43m

---

Entry from Alexandria: a relaxed structure of ZrCrP3 (PBE).

Structure (extended XYZ):
```
5
Lattice="4.440 0.000 0.000 0.000 4.440 0.000 0.000 0.000 4.440" Properties=species:S:1:pos:R:3 pbc="T T T"
Zr 0.000 0.000 0.000
Cr 2.220 2.220 2.220
P 0.000 2.220 2.220
P 2.220 0.000 2.220
P 2.220 2.220 0.000
```

SG	Pm-3m
excess energy over the best structure of this formula in the dataset	0.000	eV per formula unit

---

Entry from Alexandria: a relaxed structure of HfAl2Cu2 (PBE).

Structure (extended XYZ):
```
10
Lattice="7.373 0.000 0.000 0.000 7.373 0.000 0.000 0.000 2.795" Properties=species:S:1:pos:R:3 pbc="T T T"
Hf 0.000 0.000 0.000
Hf 3.687 3.687 0.000
Al 1.263 2.423 1.397
Al 2.423 6.110 1.397
Al 4.950 1.263 1.397
Al 6.110 4.950 1.397
Cu 0.912 4.598 0.000
Cu 2.775 0.912 0.000
Cu 4.598 6.461 0.000
Cu 6.461 2.775 0.000
```

SG	P4/mbm
excess energy over the best structure of this formula in the dataset	0.082	eV per formula unit

---

Entry from Alexandria: a relaxed structure of LiAcPd3 (PBE).

Structure (extended XYZ):
```
10
Lattice="-2.758 4.445 4.209 2.758 -4.445 4.209 2.758 4.445 -4.209" Properties=species:S:1:pos:R:3 pbc="T T T"
Li 0.000 0.000 0.000
Li 0.000 4.445 0.000
Ac 2.758 2.223 0.296
Ac 0.000 2.223 3.913
Pd 2.758 -2.223 2.783
Pd 1.379 4.519 -2.104
Pd 1.379 0.073 2.104
Pd -1.379 4.372 2.104
Pd 1.379 4.372 2.104
Pd 0.000 6.668 1.426
```

SG	Imma
excess energy over the best structure of this formula in the dataset	0.000	eV per formula unit

---

Entry from Alexandria: a relaxed structure of SrVP2S (PBE).

Structure (extended XYZ):
```
5
Lattice="4.490 0.000 0.000 0.000 4.490 0.000 0.000 0.000 5.198" Properties=species:S:1:pos:R:3 pbc="T T T"
Sr 0.000 0.000 0.000
V 2.245 2.245 2.599
P 0.000 2.245 2.599
P 2.245 0.000 2.599
S 2.245 2.245 0.000
```

SG	P4/mmm
energy relative to the elements, uncorrected	-0.6375	eV/atom
excess energy over the best structure of this formula in the dataset	0.000	eV per formula unit